Material: In2HgCl
Method: DFT, PBEsol
State: relaxed

Calculated values
Calculated volume in Å³ per cell: 97
E_form (uncorrected) in kJ/mol of formula units: -125.8
VASP energy in eV per cell: -9.8

```
In2HgCl
1.0
5.313 0.000 0.000
0.000 5.313 0.000
0.000 0.000 3.427
In Hg Cl
2 1 1
direct
0.000 0.500 0.000
0.500 0.000 0.000
0.000 0.000 0.500
0.500 0.500 0.500
```

=====

Material: BaW2Au
Method: DFT, PBEsol
State: relaxed

Calculated values
Calculated volume in Å³ per cell: 82
Energy of formation from the pure elements in eV/f.u.: 4.74
VASP energy in eV per cell: -29.0

```
BaW2Au
1.0
2.851 0.000 0.000
0.000 5.210 0.000
0.000 0.000 5.492
Ba W Au
1 2 1
direct
0.000 0.000 0.000
0.000 0.500 0.500
0.500 0.000 0.500
0.500 0.500 0.000
```

=====

- The highest VASP energy belongs to which entry?
  In2HgCl

=====

- What is the VASP energy in the second record?
  -29.0 eV per cell

=====

- Which formula does entry 1 have?
  In2HgCl

=====

- Which formula does entry 1 have?
  In2HgCl